[1]
# CoSiAu2 PBE relaxed
# Raw formation energy ... -0.046 eV per atom
# Size of the total moment ... 0.0 μB per formula unit
# DOS(E_F) ... 2.0 states/eV/f.u.
# Crystal system ... orthorhombic
# Uncorrected energy ... -4.82 eV per atom
data_CoSiAu2
_symmetry_space_group_name_H-M 'I m m m'
_symmetry_Int_Tables_number 71
_symmetry_space_group_name_Hall '-I 2 2'
_cell_length_a 2.760
_cell_length_b 3.621
_cell_length_c 12.905
_cell_angle_alpha 90.00
_cell_angle_beta 90.00
_cell_angle_gamma 90.00
loop_
_atom_site_label
_atom_site_type_symbol
_atom_site_fract_x
_atom_site_fract_y
_atom_site_fract_z
_atom_site_occupancy
Co1 Co 0.000 0.000 0.000 1
Si1 Si 0.000 0.000 0.500 1
Au1 Au 0.000 0.500 0.323 1


[2]
# CoSiAu2 PBE relaxed
# Raw formation energy ... 0.259 eV per atom
# Size of the total moment ... 1.5 μB per formula unit
# DOS(E_F) ... 4.5 states/eV/f.u.
# Crystal system ... tetragonal
# Uncorrected energy ... -4.51 eV per atom
data_CoSiAu2
_symmetry_space_group_name_H-M 'I 4/m m m'
_symmetry_Int_Tables_number 139
_symmetry_space_group_name_Hall '-I 4 2'
_cell_length_a 3.969
_cell_length_b 3.969
_cell_length_c 7.782
_cell_angle_alpha 90.00
_cell_angle_beta 90.00
_cell_angle_gamma 90.00
loop_
_atom_site_label
_atom_site_type_symbol
_atom_site_fract_x
_atom_site_fract_y
_atom_site_fract_z
_atom_site_occupancy
Co1 Co 0.000 0.000 0.000 1
Si1 Si 0.000 0.000 0.500 1
Au1 Au 0.000 0.500 0.250 1


[3]
# CoSiAu PBE relaxed
# Raw formation energy ... 0.072 eV per atom
# Size of the total moment ... 0.9 μB per formula unit
# DOS(E_F) ... 1.6 states/eV/f.u.
# Crystal system ... trigonal
# Uncorrected energy ... -5.20 eV per atom
# Excess energy over the best structure of this formula in the dataset ... 123 meV per atom
data_CoSiAu
_symmetry_space_group_name_H-M 'P 3 m 1'
_symmetry_Int_Tables_number 156
_symmetry_space_group_name_Hall 'P 3 -2"'
_cell_length_a 2.8544
_cell_length_b 2.8544
_cell_length_c 6.0459
_cell_angle_alpha 90.00
_cell_angle_beta 90.00
_cell_angle_gamma 120.00
loop_
_atom_site_label
_atom_site_type_symbol
_atom_site_fract_x
_atom_site_fract_y
_atom_site_fract_z
_atom_site_occupancy
Co1 Co 0.0000 0.0000 0.0000 1
Si1 Si 0.3333 0.6667 0.2615 1
Au1 Au 0.6667 0.3333 0.6294 1


[4]
# CoSiAu2 PBE relaxed
# Raw formation energy ... 0.267 eV per atom
# Size of the total moment ... 1.6 μB per formula unit
# DOS(E_F) ... 3.1 states/eV/f.u.
# Crystal system ... cubic
# Uncorrected energy ... -4.50 eV per atom
data_CoSiAu2
_symmetry_space_group_name_H-M 'F -4 3 m'
_symmetry_Int_Tables_number 216
_symmetry_space_group_name_Hall 'F -4 2 3'
_cell_length_a 6.283
_cell_length_b 6.283
_cell_length_c 6.283
_cell_angle_alpha 90.00
_cell_angle_beta 90.00
_cell_angle_gamma 90.00
loop_
_atom_site_label
_atom_site_type_symbol
_atom_site_fract_x
_atom_site_fract_y
_atom_site_fract_z
_atom_site_occupancy
Co1 Co 0.000 0.000 0.000 1
Si1 Si 0.250 0.250 0.250 1
Au1 Au 0.000 0.000 0.500 1
Au2 Au 0.250 0.250 0.750 1


[5]
# CoSiAu2 PBE relaxed
# Raw formation energy ... -0.029 eV per atom
# Size of the total moment ... 0.4 μB per formula unit
# DOS(E_F) ... 2.5 states/eV/f.u.
# Crystal system ... tetragonal
# Uncorrected energy ... -4.80 eV per atom
data_CoSiAu2
_symmetry_space_group_name_H-M 'P 4 m m'
_symmetry_Int_Tables_number 99
_symmetry_space_group_name_Hall 'P 4 -2'
_cell_length_a 2.923
_cell_length_b 2.923
_cell_length_c 6.921
_cell_angle_alpha 90.00
_cell_angle_beta 90.00
_cell_angle_gamma 90.00
loop_
_atom_site_label
_atom_site_type_symbol
_atom_site_fract_x
_atom_site_fract_y
_atom_site_fract_z
_atom_site_occupancy
Co1 Co 0.000 0.000 0.000 1
Si1 Si 0.500 0.500 0.143 1
Au1 Au 0.000 0.000 0.410 1
Au2 Au 0.500 0.500 0.724 1


[6]
# CoSiAu2 PBE relaxed
# Raw formation energy ... 0.039 eV per atom
# Size of the total moment ... 0.0 μB per formula unit
# DOS(E_F) ... 2.5 states/eV/f.u.
# Crystal system ... monoclinic
# Uncorrected energy ... -4.73 eV per atom
data_CoSiAu2
_symmetry_space_group_name_H-M 'C 1 m 1'
_symmetry_Int_Tables_number 8
_symmetry_space_group_name_Hall 'C -2y'
_cell_length_a 7.388
_cell_length_b 2.863
_cell_length_c 6.019
_cell_angle_alpha 90.00
_cell_angle_beta 99.84
_cell_angle_gamma 90.00
loop_
_atom_site_label
_atom_site_type_symbol
_atom_site_fract_x
_atom_site_fract_y
_atom_site_fract_z
_atom_site_occupancy
Co1 Co 0.000 0.000 0.000 1
Si1 Si 0.271 0.000 0.878 1
Au1 Au 0.022 0.500 0.603 1
Au2 Au 0.254 0.500 0.280 1


[7]
# CoSiAu2 PBE relaxed
# Raw formation energy ... -0.075 eV per atom
# Size of the total moment ... 0.0 μB per formula unit
# DOS(E_F) ... 1.7 states/eV/f.u.
# Crystal system ... monoclinic
# Uncorrected energy ... -4.85 eV per atom
data_CoSiAu2
_symmetry_space_group_name_H-M 'P 1 m 1'
_symmetry_Int_Tables_number 6
_symmetry_space_group_name_Hall 'P -2y'
_cell_length_a 2.797
_cell_length_b 3.385
_cell_length_c 6.562
_cell_angle_alpha 90.00
_cell_angle_beta 101.97
_cell_angle_gamma 90.00
loop_
_atom_site_label
_atom_site_type_symbol
_atom_site_fract_x
_atom_site_fract_y
_atom_site_fract_z
_atom_site_occupancy
Co1 Co 0.000 0.000 0.000 1
Si1 Si 0.553 0.500 0.110 1
Au1 Au 0.353 0.500 0.709 1
Au2 Au 0.702 0.000 0.403 1


[8]
# CoSi4Au PBE relaxed
# Raw formation energy ... 0.578 eV per atom
# Size of the total moment ... 1.4 μB per formula unit
# DOS(E_F) ... 5.4 states/eV/f.u.
# Crystal system ... cubic
# Uncorrected energy ... -4.77 eV per atom
data_CoSi4Au
_symmetry_space_group_name_H-M 'F -4 3 m'
_symmetry_Int_Tables_number 216
_symmetry_space_group_name_Hall 'F -4 2 3'
_cell_length_a 7.099
_cell_length_b 7.099
_cell_length_c 7.099
_cell_angle_alpha 90.00
_cell_angle_beta 90.00
_cell_angle_gamma 90.00
loop_
_atom_site_label
_atom_site_type_symbol
_atom_site_fract_x
_atom_site_fract_y
_atom_site_fract_z
_atom_site_occupancy
Co1 Co 0.000 0.000 0.000 1
Si1 Si 0.126 0.126 0.626 1
Au1 Au 0.250 0.250 0.250 1


What is the size of the total moment in the seventh record? 0.0 μB per formula unit


What is the raw formation energy in the third record? 0.072 eV per atom